# 1
Computed, not measured: a relaxed structure of ZrSi2Pt3 at the GGA-PBE level of DFT.

**Size of the total moment**: 0.00 μB/f.u.
**Formation energy from raw total energies**: -0.878 eV per atom
**Calculated volume**: 294.3 Å³ per cell

abc: 3.909 8.332 9.765
angles: 107.33 90.00 103.57
Fractional positions:
Si  0.637  0.274  0.448
Si  0.198  0.396  0.130
Si  0.363  0.726  0.552
Si  0.459  0.919  0.214
Si  0.541  0.081  0.786
Si  0.802  0.604  0.870
Pt  0.964  0.929  0.674
Pt  0.775  0.550  0.615
Pt  0.225  0.450  0.385
Pt  0.615  0.230  0.185
Pt  0.322  0.643  0.050
Pt  0.385  0.770  0.815
Pt  0.036  0.071  0.326
Pt  0.678  0.357  0.950
Pt  0.500  0.000  0.500
Zr  0.000  0.000  0.000
Zr  0.853  0.706  0.318
Zr  0.147  0.294  0.682


# 2
Computed, not measured: a relaxed structure of ZrSiPt3 at the GGA-PBE level of DFT.

**Size of the total moment**: 0.00 μB/f.u.
**Formation energy from raw total energies**: 0.936 eV per atom
**Polymorph energy (0 for the lowest one)**: 1193 meV per atom
**Calculated volume**: 122.4 Å³ per cell

abc: 4.965 4.965 4.965
angles: 90.00 90.00 90.00
Fractional positions:
Pt  0.000  0.500  0.000
Pt  0.000  0.000  0.500
Pt  0.500  0.000  0.000
Zr  0.000  0.000  0.000
Si  0.500  0.500  0.500


# 3
Computed, not measured: a relaxed structure of ZrSiPt2 at the GGA-PBE level of DFT.

**Size of the total moment**: 0.00 μB/f.u.
**Formation energy from raw total energies**: -0.452 eV per atom
**Calculated volume**: 66.2 Å³ per cell

abc: 8.863 8.863 8.863
angles: 19.26 19.26 19.26
Fractional positions:
Pt  0.511  0.511  0.511
Pt  0.989  0.989  0.989
Zr  0.750  0.750  0.750
Si  0.250  0.250  0.250


# 4
Computed, not measured: a relaxed structure of ZrSiPt2 at the GGA-PBE level of DFT.

**Size of the total moment**: 0.00 μB/f.u.
**Formation energy from raw total energies**: -0.769 eV per atom
**Calculated volume**: 68.7 Å³ per cell

abc: 3.851 3.344 5.588
angles: 72.65 90.00 90.00
Fractional positions:
Pt  0.500  0.430  0.265
Pt  0.000  0.069  0.988
Zr  0.500  0.695  0.735
Si  0.000  0.306  0.512


# 5
Computed, not measured: a relaxed structure of SmPt at the GGA-PBE level of DFT.

**Size of the total moment**: 0.00 μB/f.u.
**Formation enthalpy at 0 K**: -2.42 eV/f.u.
**Calculated volume**: 188.4 Å³ per cell

abc: 4.595 5.674 7.225
angles: 90.00 90.00 90.00
Fractional positions:
Sm  0.750  0.360  0.818
Sm  0.250  0.640  0.182
Sm  0.250  0.860  0.682
Sm  0.750  0.140  0.318
Pt  0.250  0.154  0.044
Pt  0.250  0.346  0.544
Pt  0.750  0.654  0.456
Pt  0.750  0.846  0.956


# 6
Computed, not measured: a relaxed structure of SmPt3 at the GGA-PBE level of DFT.

**Size of the total moment**: 0.00 μB/f.u.
**Formation enthalpy at 0 K**: -3.10 eV/f.u.
**Calculated volume**: 73.9 Å³ per cell

abc: 4.160 4.160 5.185
angles: 113.65 113.65 90.00
Fractional positions:
Pt  0.750  0.250  0.500
Pt  0.500  0.500  0.000
Pt  0.250  0.750  0.500
Sm  0.000  0.000  0.000


# 7
Computed, not measured: a relaxed structure of Sm7Pt3 at the GGA-PBE level of DFT.

**Size of the total moment**: 0.00 μB/f.u.
**Formation enthalpy at 0 K**: -7.76 eV/f.u.
**Calculated volume**: 562.3 Å³ per cell

abc: 6.392 10.078 10.078
angles: 120.00 90.00 90.00
Fractional positions:
Sm  0.135  0.667  0.333
Sm  0.626  0.924  0.462
Sm  0.427  0.126  0.253
Sm  0.927  0.874  0.126
Sm  0.126  0.462  0.538
Sm  0.927  0.874  0.747
Sm  0.626  0.538  0.076
Sm  0.126  0.462  0.924
Sm  0.927  0.253  0.126
Sm  0.427  0.747  0.874
Sm  0.427  0.126  0.874
Sm  0.626  0.538  0.462
Sm  0.126  0.076  0.538
Sm  0.635  0.333  0.667
Pt  0.371  0.379  0.190
Pt  0.871  0.190  0.379
Pt  0.371  0.810  0.190
Pt  0.871  0.190  0.810
Pt  0.871  0.621  0.810
Pt  0.371  0.810  0.621


# 8
Computed, not measured: a relaxed structure of Sm2Pt3 at the GGA-PBE level of DFT.

**Size of the total moment**: 0.00 μB/f.u.
**Formation enthalpy at 0 K**: -5.49 eV/f.u.
**Calculated volume**: 213.8 Å³ per cell

abc: 5.856 5.681 8.051
angles: 79.20 68.68 58.98
Fractional positions:
Sm  0.229  0.649  0.899
Sm  0.777  0.351  0.101
Sm  0.629  0.851  0.399
Sm  0.878  0.149  0.601
Pt  0.612  0.000  0.000
Pt  0.186  0.383  0.257
Pt  0.193  0.883  0.243
Pt  0.825  0.617  0.743
Pt  0.362  0.500  0.500
Pt  0.318  0.117  0.757


# 9
Computed, not measured: a relaxed structure of Sm5Pt2 at the GGA-PBE level of DFT.

**Size of the total moment**: 0.00 μB/f.u.
**Formation enthalpy at 0 K**: -5.16 eV/f.u.
**Calculated volume**: 403.8 Å³ per cell

abc: 6.701 7.193 9.078
angles: 96.25 111.66 90.00
Fractional positions:
Sm  0.204  0.427  0.188
Sm  0.348  0.188  0.561
Sm  0.788  0.312  0.439
Sm  0.652  0.812  0.439
Sm  0.434  0.750  0.000
Sm  0.016  0.073  0.812
Sm  0.212  0.688  0.561
Sm  0.796  0.573  0.812
Sm  0.566  0.250  0.000
Sm  0.984  0.927  0.188
Pt  0.409  0.073  0.224
Pt  0.591  0.927  0.776
Pt  0.185  0.427  0.776
Pt  0.815  0.573  0.224


# 10
Computed, not measured: a relaxed structure of Sm3Pt2 at the GGA-PBE level of DFT.

**Size of the total moment**: 0.00 μB/f.u.
**Polymorph energy (0 for the lowest one)**: 0 meV per atom
**Formation enthalpy at 0 K**: -4.86 eV/f.u.
**Calculated volume**: 530.5 Å³ per cell

abc: 3.972 11.759 11.359
angles: 90.00 90.00 90.00
Fractional positions:
Sm  0.750  0.369  0.446
Sm  0.250  0.307  0.719
Sm  0.750  0.693  0.281
Sm  0.250  0.631  0.554
Sm  0.750  0.807  0.781
Sm  0.750  0.439  0.122
Sm  0.250  0.561  0.878
Sm  0.250  0.869  0.054
Sm  0.250  0.939  0.378
Sm  0.750  0.061  0.622
Sm  0.250  0.193  0.219
Sm  0.750  0.131  0.946
Pt  0.750  0.009  0.184
Pt  0.250  0.991  0.816
Pt  0.250  0.509  0.316
Pt  0.750  0.682  0.016
Pt  0.250  0.318  0.984
Pt  0.750  0.491  0.684
Pt  0.750  0.818  0.516
Pt  0.250  0.182  0.484


# 11
Computed, not measured: a relaxed structure of Sm3Pt2 at the GGA-PBE level of DFT.

**Size of the total moment**: 0.00 μB/f.u.
**Polymorph energy (0 for the lowest one)**: 67 meV per atom
**Formation enthalpy at 0 K**: -4.52 eV/f.u.
**Calculated volume**: 286.3 Å³ per cell

abc: 7.136 7.136 7.689
angles: 62.35 62.35 60.00
Fractional positions:
Pt  0.325  0.325  0.026
Pt  0.675  0.675  0.974
Pt  0.175  0.175  0.474
Pt  0.825  0.825  0.526
Sm  0.893  0.250  0.250
Sm  0.607  0.893  0.250
Sm  0.107  0.750  0.750
Sm  0.250  0.607  0.250
Sm  0.393  0.107  0.750
Sm  0.750  0.393  0.750


# 12
Computed, not measured: a relaxed structure of SmPt3 at the GGA-PBE level of DFT.

**Size of the total moment**: 0.00 μB/f.u.
**Formation enthalpy at 0 K**: -3.72 eV/f.u.
**Calculated volume**: 72.4 Å³ per cell

abc: 4.168 4.169 4.169
angles: 90.00 90.00 90.00
Fractional positions:
Sm  0.000  0.500  0.417
Pt  0.000  0.000  0.917
Pt  0.500  0.000  0.417
Pt  0.500  0.500  0.917


# 13
Computed, not measured: a relaxed structure of SmPt6 at the GGA-PBE level of DFT.

**Size of the total moment**: 0.00 μB/f.u.
**Polymorph energy (0 for the lowest one)**: 868 meV per atom
**Formation enthalpy at 0 K**: 2.47 eV/f.u.
**Calculated volume**: 172.6 Å³ per cell

abc: 6.076 6.076 6.076
angles: 109.47 109.47 109.47
Fractional positions:
Pt  0.750  0.250  0.500
Pt  0.500  0.250  0.750
Pt  0.500  0.750  0.250
Pt  0.750  0.500  0.250
Pt  0.250  0.750  0.500
Pt  0.250  0.500  0.750
Sm  0.000  0.000  0.000


# 14
Computed, not measured: a relaxed structure of SmPt5 at the GGA-PBE level of DFT.

**Size of the total moment**: 0.00 μB/f.u.
**Formation enthalpy at 0 K**: -3.18 eV/f.u.
**Calculated volume**: 105.3 Å³ per cell

abc: 4.949 5.059 5.136
angles: 119.51 80.39 109.82
Fractional positions:
Pt  0.500  0.183  0.366
Pt  0.000  0.336  0.673
Pt  0.500  0.817  0.634
Pt  0.000  0.664  0.327
Pt  0.500  0.500  0.000
Sm  0.000  0.000  0.000


# 15
Computed, not measured: a relaxed structure of Sm3Pt2 at the GGA-PBE level of DFT.

**Size of the total moment**: 0.00 μB/f.u.
**Polymorph energy (0 for the lowest one)**: 31 meV per atom
**Formation enthalpy at 0 K**: -4.70 eV/f.u.
**Calculated volume**: 425.1 Å³ per cell

abc: 4.332 9.364 10.872
angles: 97.65 90.00 103.37
Fractional positions:
Pt  0.315  0.630  0.865
Pt  0.973  0.946  0.176
Pt  0.685  0.370  0.135
Pt  0.636  0.271  0.465
Pt  0.027  0.054  0.824
Pt  0.364  0.729  0.535
Sm  0.209  0.417  0.615
Sm  0.875  0.749  0.722
Sm  0.464  0.927  0.341
Sm  0.791  0.583  0.385
Sm  0.828  0.656  0.046
Sm  0.125  0.251  0.278
Sm  0.500  0.000  0.000
Sm  0.172  0.344  0.954
Sm  0.536  0.073  0.659


# 16
Computed, not measured: a relaxed structure of SmPt at the GGA-PBE level of DFT.

**Size of the total moment**: 0.00 μB/f.u.
**Formation enthalpy at 0 K**: -2.15 eV/f.u.
**Calculated volume**: 50.6 Å³ per cell

abc: 4.152 4.152 4.152
angles: 60.00 60.00 60.00
Fractional positions:
Sm  0.500  0.500  0.500
Pt  0.000  0.000  0.000


# 17
Computed, not measured: a relaxed structure of SmPt6 at the GGA-PBE level of DFT.

**Size of the total moment**: 0.00 μB/f.u.
**Polymorph energy (0 for the lowest one)**: 0 meV per atom
**Formation enthalpy at 0 K**: -3.60 eV/f.u.
**Calculated volume**: 503.8 Å³ per cell

abc: 5.327 9.284 10.185
angles: 90.00 90.00 90.00
Fractional positions:
Sm  0.750  0.765  0.552
Sm  0.250  0.235  0.448
Sm  0.750  0.265  0.948
Sm  0.250  0.735  0.052
Pt  0.505  0.546  0.775
Pt  0.250  0.198  0.161
Pt  0.750  0.802  0.839
Pt  0.750  0.475  0.455
Pt  0.995  0.046  0.725
Pt  0.750  0.701  0.265
Pt  0.005  0.454  0.225
Pt  0.250  0.025  0.955
Pt  0.750  0.975  0.045
Pt  0.750  0.084  0.487
Pt  0.995  0.546  0.775
Pt  0.250  0.525  0.545
Pt  0.250  0.799  0.765
Pt  0.750  0.302  0.661
Pt  0.005  0.954  0.275
Pt  0.250  0.916  0.513
Pt  0.505  0.046  0.725
Pt  0.495  0.454  0.225
Pt  0.250  0.698  0.339
Pt  0.750  0.201  0.235
Pt  0.495  0.954  0.275
Pt  0.250  0.299  0.735
Pt  0.250  0.416  0.987
Pt  0.750  0.584  0.013


# 18
Computed, not measured: a relaxed structure of Sm3SnPt8 at the GGA-PBE level of DFT.

**Size of the total moment**: 0.00 μB/f.u.
**Formation enthalpy at 0 K**: -11.35 eV/f.u.
**Calculated volume**: 232.5 Å³ per cell

abc: 5.489 5.489 9.456
angles: 73.13 73.13 60.00
Fractional positions:
Pt  0.439  0.943  0.179
Pt  0.939  0.434  0.688
Pt  0.943  0.439  0.179
Pt  0.939  0.939  0.688
Pt  0.439  0.439  0.179
Pt  0.689  0.689  0.933
Pt  0.190  0.190  0.431
Pt  0.434  0.939  0.688
Sm  0.991  0.991  0.026
Sm  0.378  0.378  0.867
Sm  0.507  0.507  0.479
Sn  0.862  0.862  0.414


# 19
Computed, not measured: a relaxed structure of Sm3Sn2Pt7 at the GGA-PBE level of DFT.

**Size of the total moment**: 0.00 μB/f.u.
**Formation enthalpy at 0 K**: -9.72 eV/f.u.
**Calculated volume**: 251.5 Å³ per cell

abc: 4.113 4.113 15.151
angles: 97.80 97.80 90.00
Fractional positions:
Pt  0.573  0.073  0.145
Pt  0.073  0.573  0.145
Pt  0.781  0.781  0.562
Pt  0.427  0.927  0.855
Pt  0.000  0.000  0.000
Pt  0.219  0.219  0.438
Pt  0.927  0.427  0.855
Sm  0.317  0.317  0.634
Sm  0.683  0.683  0.366
Sm  0.500  0.500  0.000
Sn  0.129  0.129  0.257
Sn  0.871  0.871  0.743


# 20
Computed, not measured: a relaxed structure of Sm2Sn3Pt5 at the GGA-PBE level of DFT.

**Size of the total moment**: 0.00 μB/f.u.
**Formation enthalpy at 0 K**: -7.95 eV/f.u.
**Calculated volume**: 434.1 Å³ per cell

abc: 4.166 8.117 13.006
angles: 90.00 99.22 90.00
Fractional positions:
Sm  0.497  0.788  0.995
Sm  0.503  0.288  0.005
Sm  0.188  0.715  0.376
Sm  0.812  0.215  0.624
Pt  0.615  0.871  0.229
Pt  0.272  0.453  0.544
Pt  0.027  0.538  0.055
Pt  0.728  0.953  0.456
Pt  0.385  0.371  0.771
Pt  0.120  0.346  0.239
Pt  0.701  0.408  0.402
Pt  0.973  0.038  0.945
Pt  0.299  0.908  0.598
Pt  0.880  0.846  0.761
Sn  0.796  0.659  0.591
Sn  0.078  0.043  0.156
Sn  0.602  0.545  0.205
Sn  0.398  0.045  0.795
Sn  0.204  0.159  0.409
Sn  0.922  0.543  0.844


The evaluated uncorrected energy for the records listed, in turn: -7.1310 -5.4824 -6.9657 -7.2819 -6.5888 -6.4857 -5.8918 -6.6091 -5.8341 -6.2191 -6.1521 -6.6394 -5.4986 -6.3506 -6.1880 -6.4570 -6.3670 -6.4865 -6.1805 -5.9599 eV per atom.